# Ac2DySb4Ir3 | Alexandria | PBE-GGA | optimized geometry
data_Ac2DySb4Ir3
_chemical_formula_sum 'Ac2 Dy1 Sb4 Ir3'
_symmetry_space_group_name_H-M 'P -4 m 2'
_symmetry_Int_Tables_number 115
_cell_length_a 4.639
_cell_length_b 4.639
_cell_length_c 11.572
_cell_angle_alpha 90.00
_cell_angle_beta 90.00
_cell_angle_gamma 90.00
loop_
_symmetry_equiv_pos_as_xyz
'x,y,z'
'y,-x,-z'
'-x,-y,z'
'-y,x,-z'
'-x,y,z'
'-y,-x,-z'
'x,-y,z'
'y,x,-z'
loop_
_atom_site_label
_atom_site_type_symbol
_atom_site_fract_x
_atom_site_fract_y
_atom_site_fract_z
Ac1 Ac 0.000 0.500 0.232
Dy1 Dy 0.000 0.000 0.500
Sb1 Sb 0.000 0.000 0.000
Sb2 Sb 0.000 0.500 0.655
Sb3 Sb 0.500 0.500 0.000
Ir1 Ir 0.000 0.500 0.887
Ir2 Ir 0.500 0.500 0.500
# **E_form (uncorrected)**: -0.718 eV per atom

***

# Ac2DySn4Ir3 | Alexandria | PBE-GGA | optimized geometry
data_Ac2DySn4Ir3
_chemical_formula_sum 'Ac2 Dy1 Sn4 Ir3'
_symmetry_space_group_name_H-M 'P -4 m 2'
_symmetry_Int_Tables_number 115
_cell_length_a 4.538
_cell_length_b 4.538
_cell_length_c 12.090
_cell_angle_alpha 90.00
_cell_angle_beta 90.00
_cell_angle_gamma 90.00
loop_
_symmetry_equiv_pos_as_xyz
'x,y,z'
'y,-x,-z'
'-x,-y,z'
'-y,x,-z'
'-x,y,z'
'-y,-x,-z'
'x,-y,z'
'y,x,-z'
loop_
_atom_site_label
_atom_site_type_symbol
_atom_site_fract_x
_atom_site_fract_y
_atom_site_fract_z
Ac1 Ac 0.000 0.500 0.231
Dy1 Dy 0.000 0.000 0.500
Sn1 Sn 0.000 0.000 0.000
Sn2 Sn 0.000 0.500 0.658
Sn3 Sn 0.500 0.500 0.000
Ir1 Ir 0.000 0.500 0.877
Ir2 Ir 0.500 0.500 0.500
# **Energy of formation from the pure elements**: -581 kJ/mol of formula units

***

# AcDyTlIr | Alexandria | PBE-GGA | optimized geometry
data_AcDyTlIr
_chemical_formula_sum 'Ac4 Dy4 Tl4 Ir4'
_symmetry_space_group_name_H-M 'F -4 3 m'
_symmetry_Int_Tables_number 216
_symmetry_space_group_name_Hall 'F -4 2 3'
_cell_length_a 7.546
_cell_length_b 7.546
_cell_length_c 7.546
_cell_angle_alpha 90.00
_cell_angle_beta 90.00
_cell_angle_gamma 90.00
loop_
_atom_site_label
_atom_site_type_symbol
_atom_site_fract_x
_atom_site_fract_y
_atom_site_fract_z
Ac1 Ac 0.000 0.000 0.000
Dy1 Dy 0.000 0.000 0.500
Tl1 Tl 0.250 0.250 0.250
Ir1 Ir 0.250 0.250 0.750
# **Energy of formation from the pure elements**: -118 kJ/mol of formula units

***

# KAc2Dy | Alexandria | PBE-GGA | optimized geometry
data_KAc2Dy
_chemical_formula_sum 'K3 Ac6 Dy3'
_symmetry_space_group_name_H-M 'R -3 m'
_symmetry_Int_Tables_number 166
_symmetry_space_group_name_Hall '-R 3 2"'
_cell_length_a 3.8804
_cell_length_b 3.8804
_cell_length_c 41.7494
_cell_angle_alpha 90.00
_cell_angle_beta 90.00
_cell_angle_gamma 120.00
loop_
_atom_site_label
_atom_site_type_symbol
_atom_site_fract_x
_atom_site_fract_y
_atom_site_fract_z
K1 K 0.0000 0.0000 0.0000
Ac1 Ac 0.0000 0.0000 0.0960
Dy1 Dy 0.0000 0.0000 0.5000
# **Energy of formation from the pure elements**: 64 kJ/mol of formula units

***

# K3AcDy2O6 | Alexandria | PBE-GGA | optimized geometry
data_K3AcDy2O6
_chemical_formula_sum 'K6 Ac2 Dy4 O12'
_symmetry_space_group_name_H-M 'C 1 2/m 1'
_symmetry_Int_Tables_number 12
_cell_length_a 16.401
_cell_length_b 3.598
_cell_length_c 7.574
_cell_angle_alpha 90.00
_cell_angle_beta 106.81
_cell_angle_gamma 90.00
loop_
_symmetry_equiv_pos_as_xyz
'x,y,z'
'-x,-y,-z'
'-x,y,-z'
'x,-y,z'
'x+1/2,y+1/2,z'
'-x+1/2,-y+1/2,-z'
'-x+1/2,y+1/2,-z'
'x+1/2,-y+1/2,z'
loop_
_atom_site_label
_atom_site_type_symbol
_atom_site_fract_x
_atom_site_fract_y
_atom_site_fract_z
K1 K 0.000 0.000 0.000
K2 K 0.171 0.500 0.330
Ac1 Ac 0.000 0.000 0.500
Dy1 Dy 0.171 0.500 0.842
O1 O 0.021 0.500 0.738
O2 O 0.160 0.000 0.634
O3 O 0.183 0.000 0.048
# **E_form (uncorrected)**: -2.672 eV per atom

***

# K3Ac2DyO6 | Alexandria | PBE-GGA | optimized geometry
data_K3Ac2DyO6
_chemical_formula_sum 'K6 Ac4 Dy2 O12'
_symmetry_space_group_name_H-M 'C 1 2/m 1'
_symmetry_Int_Tables_number 12
_cell_length_a 6.470
_cell_length_b 11.224
_cell_length_c 6.686
_cell_angle_alpha 90.00
_cell_angle_beta 108.66
_cell_angle_gamma 90.00
loop_
_symmetry_equiv_pos_as_xyz
'x,y,z'
'-x,-y,-z'
'-x,y,-z'
'x,-y,z'
'x+1/2,y+1/2,z'
'-x+1/2,-y+1/2,-z'
'-x+1/2,y+1/2,-z'
'x+1/2,-y+1/2,z'
loop_
_atom_site_label
_atom_site_type_symbol
_atom_site_fract_x
_atom_site_fract_y
_atom_site_fract_z
K1 K 0.000 0.000 0.000
K2 K 0.000 0.341 0.000
Ac1 Ac 0.000 0.167 0.500
Dy1 Dy 0.000 0.500 0.500
O1 O 0.219 0.344 0.692
O2 O 0.249 0.500 0.310
# **E_form (uncorrected)**: -2.614 eV per atom

***

# K3Ac3DyO8 | Alexandria | PBE-GGA | optimized geometry
data_K3Ac3DyO8
_chemical_formula_sum 'K9 Ac9 Dy3 O24'
_symmetry_space_group_name_H-M 'R -3 m'
_symmetry_Int_Tables_number 166
_symmetry_space_group_name_Hall '-R 3 2"'
_cell_length_a 7.5448
_cell_length_b 7.5448
_cell_length_c 19.0957
_cell_angle_alpha 90.00
_cell_angle_beta 90.00
_cell_angle_gamma 120.00
loop_
_atom_site_label
_atom_site_type_symbol
_atom_site_fract_x
_atom_site_fract_y
_atom_site_fract_z
K1 K 0.0000 0.5000 0.0000
Ac1 Ac 0.0000 0.5000 0.5000
Dy1 Dy 0.0000 0.0000 0.5000
O1 O 0.0000 0.0000 0.2323
O2 O 0.0243 0.5121 0.2263
# **E_form (uncorrected)**: -2.586 eV per atom

***

# KAcDy4S8 | Alexandria | PBE-GGA | optimized geometry
data_KAcDy4S8
_chemical_formula_sum 'K3 Ac3 Dy12 S24'
_symmetry_space_group_name_H-M 'R 3 m'
_symmetry_Int_Tables_number 160
_symmetry_space_group_name_Hall 'R 3 -2"'
_cell_length_a 8.2165
_cell_length_b 8.2165
_cell_length_c 21.1010
_cell_angle_alpha 90.00
_cell_angle_beta 90.00
_cell_angle_gamma 120.00
loop_
_atom_site_label
_atom_site_type_symbol
_atom_site_fract_x
_atom_site_fract_y
_atom_site_fract_z
K1 K 0.0000 0.0000 0.0000
Ac1 Ac 0.0000 0.0000 0.6338
Dy1 Dy 0.0000 0.0000 0.2567
Dy2 Dy 0.1727 0.3454 0.4626
S1 S 0.0000 0.0000 0.3874
S2 S 0.0000 0.0000 0.8626
S3 S 0.0333 0.5167 0.3933
S4 S 0.1711 0.3423 0.2074
# **E_form (uncorrected)**: -1.934 eV per atom

***

Number 1: uncorrected energy -6.3071 eV per atom. Number 2: uncorrected energy -6.1435 eV per atom. Number 3: uncorrected energy -5.2911 eV per atom. Number 4: uncorrected energy -3.3136 eV per atom. Number 5: uncorrected energy -6.5349 eV per atom. Number 6: uncorrected energy -6.4355 eV per atom. Number 7: uncorrected energy -6.5788 eV per atom. Number 8: uncorrected energy -5.9789 eV per atom.